VASP calculation (PBE+U) on an optimized crystal structure of MgCrBi2O6.

The structure belongs to space group C2/m (No. 12); the cell edges are 9.6765, 5.5120 and 5.5527 Å and the angles 90.00°, 124.38° and 90.00°. The asymmetric unit holds Mg at (0.0000, 0.0000, 0.0000), Cr at (0.0000, 0.5000, 0.5000), Bi at (0.2495, 0.0000, 0.7212), O at (0.0642, 0.2536, 0.3200) and O at (0.2373, 0.5000, 0.8407).

The energy comes out at -6.26 eV/atom. Its crystal system is monoclinic. For the density of states at the Fermi level, the calculation gives 2.9 states/eV/f.u.

VASP calculation (PBE+U) on an optimized crystal structure of MgCrBiO5.

The structure belongs to space group P2_1/c (No. 14); the cell edges are 5.3857, 11.6801 and 7.9639 Å and the angles 90.00°, 112.52° and 90.00°. The asymmetric unit holds Mg at (0.0497, 0.0783, 0.1757), Cr at (0.3113, 0.6471, 0.0301), Bi at (0.4420, 0.0992, 0.8265), O at (0.1831, 0.7143, 0.4820), O at (0.2002, 0.5678, 0.1714), O at (0.2518, 0.5741, 0.8292), O at (0.2583, 0.0257, 0.0146) and O at (0.3551, 0.1758, 0.3504).

The energy comes out at -6.39 eV/atom. Its crystal system is monoclinic.

VASP calculation (PBE+U) on an optimized crystal structure of Mg6CrBiO8.

The structure belongs to space group P4/mmm (No. 123); the cell edges are 4.5606, 4.5606 and 8.8719 Å and the angles 90.00°, 90.00° and 90.00°. The asymmetric unit holds Mg at (0.0000, 0.0000, 0.0000), Mg at (0.0000, 0.0000, 0.5000), Mg at (0.0000, 0.5000, 0.2327), Cr at (0.5000, 0.5000, 0.0000), Bi at (0.5000, 0.5000, 0.5000), O at (0.0000, 0.0000, 0.2499), O at (0.0000, 0.5000, 0.0000), O at (0.0000, 0.5000, 0.5000) and O at (0.5000, 0.5000, 0.2305).

Its energy above the most stable polymorph in this dataset is 0.0394 eV/atom. Its crystal system is tetragonal. For the density of states at the Fermi level, the calculation gives 3.6 states/eV/f.u.

VASP calculation (PBE+U) on an optimized crystal structure of Mg6CrBiO8.

The structure belongs to space group P4/mmm (No. 123); the cell edges are 4.4744, 4.4744 and 9.1485 Å and the angles 90.00°, 90.00° and 90.00°. The asymmetric unit holds Mg at (0.0000, 0.0000, 0.0000), Mg at (0.0000, 0.5000, 0.2281), Mg at (0.5000, 0.5000, 0.0000), Cr at (0.0000, 0.0000, 0.5000), Bi at (0.5000, 0.5000, 0.5000), O at (0.0000, 0.0000, 0.2247), O at (0.0000, 0.5000, 0.0000), O at (0.0000, 0.5000, 0.5000) and O at (0.5000, 0.5000, 0.2276).

Its energy above the most stable polymorph in this dataset is 0.0000 eV/atom. Its crystal system is tetragonal. For the density of states at the Fermi level, the calculation gives 2.2 states/eV/f.u.